[1]
Entry from the Alexandria database: an optimized crystal structure of HfSc2Se (PBE).

CIF file:
```
data_HfSc2Se
_chemical_formula_sum 'Hf3 Sc6 Se3'
_symmetry_space_group_name_H-M 'R 3 m'
_symmetry_Int_Tables_number 160
_symmetry_space_group_name_Hall 'R 3 -2"'
_cell_length_a 3.4621
_cell_length_b 3.4621
_cell_length_c 25.7284
_cell_angle_alpha 90.00
_cell_angle_beta 90.00
_cell_angle_gamma 120.00
loop_
_atom_site_label
_atom_site_type_symbol
_atom_site_fract_x
_atom_site_fract_y
_atom_site_fract_z
Hf1 Hf 0.0000 0.0000 0.0000
Sc1 Sc 0.0000 0.0000 0.5719
Sc2 Sc 0.0000 0.0000 0.7629
Se1 Se 0.0000 0.0000 0.1671
```

ΔE_f (raw): -0.6763 eV/atom

---

[2]
Entry from the Alexandria database: an optimized crystal structure of HfScSe3 (PBE).

CIF file:
```
data_HfScSe3
_chemical_formula_sum 'Hf1 Sc1 Se3'
_symmetry_space_group_name_H-M 'P m -3 m'
_symmetry_Int_Tables_number 221
_symmetry_space_group_name_Hall '-P 4 2 3'
_cell_length_a 5.130
_cell_length_b 5.130
_cell_length_c 5.130
_cell_angle_alpha 90.00
_cell_angle_beta 90.00
_cell_angle_gamma 90.00
loop_
_atom_site_label
_atom_site_type_symbol
_atom_site_fract_x
_atom_site_fract_y
_atom_site_fract_z
Hf1 Hf 0.000 0.000 0.000
Sc1 Sc 0.500 0.500 0.500
Se1 Se 0.000 0.000 0.500
```

ΔE_f (raw): -0.6915 eV/atom
Polymorph energy (0 for the lowest one): 771 meV per atom